No. 1
Material: La2TeOs
Method: DFT, GGA-PBE
State: optimized geometry

Lattice parameters (Å, degrees): 7.332 7.332 7.332 90.00 90.00 90.00
Space group F-43m (No. 216)
One atom of each set of equivalent atoms:
La: 0.000 0.000 0.000 (multiplicity 4)
La: 0.250 0.250 0.250 (multiplicity 4)
Te: 0.250 0.250 0.750 (multiplicity 4)
Os: 0.000 0.000 0.500 (multiplicity 4)

Summary:
VASP energy ... -0.44766 Ry/atom
Magnetization ... 0.00 μB/f.u.
N(E_F) ... 0.616 states/eV per atom

=====

No. 2
Material: La2TeOs
Method: DFT, GGA-PBE
State: optimized geometry

Lattice parameters (Å, degrees): 3.797 4.761 11.962 90.00 90.00 90.00
Space group Imm2 (No. 44)
One atom of each set of equivalent atoms:
La: 0.000 0.000 0.000 (multiplicity 2)
La: 0.000 0.500 0.208 (multiplicity 2)
Te: 0.000 0.500 0.803 (multiplicity 2)
Os: 0.000 0.000 0.503 (multiplicity 2)

Summary:
VASP energy ... -0.47796 Ry/atom
Magnetization ... 0.01 μB/f.u.
N(E_F) ... 0.649 states/eV per atom

=====

No. 3
Material: La2TeOs
Method: DFT, GGA-PBE
State: optimized geometry

Lattice parameters (Å, degrees): 4.662 5.944 7.953 90.00 90.00 90.00
Space group Immm (No. 71)
One atom of each set of equivalent atoms:
La: 0.000 0.000 0.220 (multiplicity 4)
Te: 0.000 0.500 0.000 (multiplicity 2)
Os: 0.000 0.500 0.500 (multiplicity 2)

Summary:
VASP energy ... -0.47459 Ry/atom
Magnetization ... 0.00 μB/f.u.
N(E_F) ... 0.763 states/eV per atom

=====

No. 4
Material: La5Te2Os2
Method: DFT, GGA-PBE
State: optimized geometry

Lattice parameters (Å, degrees): 16.320 8.125 8.069 90.00 90.00 90.00
Space group Cmce (No. 64)
One atom of each set of equivalent atoms:
La: 0.000 0.000 0.000 (multiplicity 4)
La: 0.116 0.162 0.340 (multiplicity 16)
Te: 0.207 0.000 0.000 (multiplicity 8)
Os: 0.000 0.139 0.639 (multiplicity 8)

Summary:
VASP energy ... -0.49110 Ry/atom
Magnetization ... 0.00 μB/f.u.
N(E_F) ... 0.939 states/eV per atom

=====

No. 5
Material: La2TeOs
Method: DFT, GGA-PBE
State: optimized geometry

Lattice parameters (Å, degrees): 7.538 7.548 3.744 90.00 90.00 90.00
Space group Cmmm (No. 65)
One atom of each set of equivalent atoms:
La: 0.250 0.250 0.000 (multiplicity 4)
Te: 0.000 0.000 0.500 (multiplicity 2)
Os: 0.000 0.500 0.500 (multiplicity 2)

Summary:
VASP energy ... -0.47760 Ry/atom
Magnetization ... 0.00 μB/f.u.
N(E_F) ... 0.493 states/eV per atom

=====

No. 6
Material: LaTeOs3
Method: DFT, GGA-PBE
State: optimized geometry

Lattice parameters (Å, degrees): 4.869 4.869 4.869 90.00 90.00 90.00
Space group Pm-3m (No. 221)
One atom of each set of equivalent atoms:
La: 0.000 0.000 0.000 (multiplicity 1)
Te: 0.500 0.500 0.500 (multiplicity 1)
Os: 0.000 0.500 0.500 (multiplicity 3)

Summary:
Magnetization ... 0.00 μB/f.u.
N(E_F) ... 0.720 states/eV per atom
Offset from the most stable computed form ... 0.000 eV/atom

=====

Here are the calculated density numbers, same order: 10.04, 9.15, 8.98, 8.26, 9.29, 12.05 (g/cm³).